This record from the Alexandria database describes a geometry-optimized Pr3Sb structure. The functional is PBE-GGA.

abc: 6.2323 6.2323 6.2323
angles: 133.76 133.76 67.46
Closest atoms and distances in Å follow each position.
Element x y z (fractional)
Pr 0.0000 0.0000 0.0000  4 Sb 3.46, 8 Pr 3.56
Pr 0.2500 0.7500 0.5000  8 Pr 3.46-3.56, 4 Sb 3.56
Pr 0.7500 0.2500 0.5000  8 Pr 3.46-3.56, 4 Sb 3.56
Sb 0.5000 0.5000 0.0000  12 Pr 3.46-3.56

Results
- crystal system = tetragonal
- magnetic moment (μB/atom) = 0.00
- symmetry = I4/mmm
- formation energy (no corrections) (eV per formula unit) = -1.959
- DFT total energy (eV/atom) = -5.105
- polymorph energy (0 for the lowest one) (eV per atom) = 0.1309



This record from the Alexandria database describes a geometry-optimized Pr3Sb structure. The functional is PBE-GGA.

abc: 4.9709 4.9709 4.9709
angles: 90.00 90.00 90.00
Closest atoms and distances in Å follow each position.
Element x y z (fractional)
Pr 0.0000 0.0000 0.5000  4 Sb 3.51, 8 Pr 3.51
Pr 0.0000 0.5000 0.0000  4 Sb 3.51, 8 Pr 3.51
Pr 0.5000 0.0000 0.0000  4 Sb 3.51, 8 Pr 3.51
Sb 0.5000 0.5000 0.5000  12 Pr 3.51

Results
- crystal system = cubic
- magnetic moment (μB/atom) = 0.00
- symmetry = Pm-3m
- formation energy (no corrections) (eV per formula unit) = -2.227
- DFT total energy (eV/atom) = -5.172
- polymorph energy (0 for the lowest one) (eV per atom) = 0.0638



This record from the Alexandria database describes a geometry-optimized Pr3Sb structure. The functional is PBE-GGA.

abc: 6.6691 4.2098 9.8804
angles: 90.00 99.39 90.00
Closest atoms and distances in Å follow each position.
Element x y z (fractional)
Pr 0.0793 0.2500 0.3510  2 Pr 3.22-3.46, 2 Sb 3.27
Pr 0.2701 0.7500 0.0854  4 Sb 3.18-3.44
Pr 0.3985 0.7500 0.6306  2 Pr 3.22-3.46, 2 Sb 3.32
Pr 0.6015 0.2500 0.3694  2 Pr 3.22-3.46, 2 Sb 3.32
Pr 0.7299 0.2500 0.9146  4 Sb 3.18-3.44
Pr 0.9207 0.7500 0.6490  2 Pr 3.22-3.46, 2 Sb 3.27
Sb 0.2160 0.2500 0.8407  8 Pr 3.18-3.44
Sb 0.7840 0.7500 0.1593  8 Pr 3.18-3.44

Results
- crystal system = monoclinic
- magnetic moment (μB/atom) = 0.00
- symmetry = P2_1/m
- formation energy (no corrections) (eV per formula unit) = -2.102
- DFT total energy (eV/atom) = -5.141
- polymorph energy (0 for the lowest one) (eV per atom) = 0.0950



This record from the Alexandria database describes a geometry-optimized Pr3Sb structure. The functional is PBE-GGA.

abc: 6.5662 6.5662 6.5662
angles: 143.77 64.28 128.85
Closest atoms and distances in Å follow each position.
Element x y z (fractional)
Pr 0.0000 0.0000 0.0000  2 Pr 3.30, 4 Sb 3.31-3.68
Pr 0.3908 0.6118 0.7790  5 Pr 3.30-3.55, 3 Sb 3.31-3.68
Pr 0.8328 0.6118 0.2210  5 Pr 3.30-3.55, 3 Sb 3.31-3.68
Sb 0.4598 0.9598 0.5000  10 Pr 3.31-3.68

Results
- crystal system = orthorhombic
- magnetic moment (μB/atom) = 0.00
- symmetry = Imm2
- formation energy (no corrections) (eV per formula unit) = -1.983
- DFT total energy (eV/atom) = -5.111
- polymorph energy (0 for the lowest one) (eV per atom) = 0.1247



This record from the Alexandria database describes a geometry-optimized PrSb5 structure. The functional is PBE-GGA.

abc: 8.0602 8.0602 4.3813
angles: 90.00 90.00 143.38
Closest atoms and distances in Å follow each position.
Element x y z (fractional)
Pr 0.0000 0.0000 0.0000  12 Sb 3.35-3.62
Sb 0.1887 0.8113 0.5000  8 Sb 3.15-3.40
Sb 0.3499 0.6501 0.0000  8 Sb 3.17-3.40, 2 Pr 3.42
Sb 0.5000 0.5000 0.5000  4 Sb 3.17, 4 Pr 3.35
Sb 0.6501 0.3499 0.0000  8 Sb 3.17-3.40, 2 Pr 3.42
Sb 0.8113 0.1887 0.5000  8 Sb 3.15-3.40

Results
- crystal system = orthorhombic
- magnetic moment (μB/atom) = 0.00
- symmetry = Cmmm
- formation energy (no corrections) (eV per formula unit) = -1.587
- DFT total energy (eV/atom) = -4.496



This record from the Alexandria database describes a geometry-optimized Pr2Sb structure. The functional is PBE-GGA.

abc: 9.5517 9.5517 9.5517
angles: 152.07 152.07 39.92
Closest atoms and distances in Å follow each position.
Element x y z (fractional)
Pr 0.0000 0.5000 0.5000  4 Pr 3.26, 4 Sb 3.39
Pr 0.1794 0.1794 0.0000  5 Sb 3.27-3.34
Pr 0.5000 0.0000 0.5000  4 Pr 3.26, 4 Sb 3.39
Pr 0.8206 0.8206 0.0000  5 Sb 3.27-3.34
Sb 0.3616 0.3616 0.0000  9 Pr 3.27-3.39
Sb 0.6384 0.6384 0.0000  9 Pr 3.27-3.39

Results
- crystal system = tetragonal
- magnetic moment (μB/atom) = 0.00
- symmetry = I4/mmm
- formation energy (no corrections) (eV per formula unit) = -2.558
- DFT total energy (eV/atom) = -5.413



This record from the Alexandria database describes a geometry-optimized Pr2Sb structure. The functional is PBE-GGA.

abc: 5.9227 5.9227 5.9227
angles: 138.23 138.23 60.56
Closest atoms and distances in Å follow each position.
Element x y z (fractional)
Pr 0.1525 0.1525 0.0000  1 Pr 3.12, 4 Sb 3.37
Pr 0.8475 0.8475 0.0000  1 Pr 3.12, 4 Sb 3.37
Sb 0.5000 0.5000 0.0000  10 Pr 3.37-3.55

Results
- crystal system = tetragonal
- magnetic moment (μB/atom) = 0.00
- symmetry = I4/mmm
- formation energy (no corrections) (eV per formula unit) = -2.079
- DFT total energy (eV/atom) = -5.254



This record from the Alexandria database describes a geometry-optimized PrSc3Sb3 structure. The functional is PBE-GGA.

abc: 7.7986 7.7986 7.7986
angles: 69.12 69.12 69.12
Closest atoms and distances in Å follow each position.
Element x y z (fractional)
Pr 0.1648 0.1648 0.1648  6 Sb 3.19-3.20, 3 Sc 3.54
Pr 0.8352 0.8352 0.8352  6 Sb 3.19-3.20, 3 Sc 3.54
Sc 0.1459 0.6911 0.4177  5 Sb 2.91-3.18
Sc 0.3089 0.5823 0.8541  5 Sb 2.91-3.18
Sc 0.4177 0.1459 0.6911  5 Sb 2.91-3.18
Sc 0.5823 0.8541 0.3089  5 Sb 2.91-3.18
Sc 0.6911 0.4177 0.1459  5 Sb 2.91-3.18
Sc 0.8541 0.3089 0.5823  5 Sb 2.91-3.18
Sb 0.0449 0.4171 0.7801  5 Sc 2.91-3.18, 2 Pr 3.19-3.20
Sb 0.2199 0.9551 0.5829  5 Sc 2.91-3.18, 2 Pr 3.19-3.20
Sb 0.4171 0.7801 0.0449  5 Sc 2.91-3.18, 2 Pr 3.19-3.20
Sb 0.5829 0.2199 0.9551  5 Sc 2.91-3.18, 2 Pr 3.19-3.20
Sb 0.7801 0.0449 0.4171  5 Sc 2.91-3.18, 2 Pr 3.19-3.20
Sb 0.9551 0.5829 0.2199  5 Sc 2.91-3.18, 2 Pr 3.19-3.20

Results
- crystal system = trigonal
- magnetic moment (μB/atom) = 0.00
- symmetry = R-3
- formation energy (no corrections) (eV per formula unit) = -5.402
- DFT total energy (eV/atom) = -5.935